No. 1
The following is a meta-GGA SCAN calculation of Al2PSe at its PBEsol-relaxed geometry, from Alexandria via LeMat-Bulk.

The symmetry is P4/mmm (123). The value obtained for the total DFT energy (no corrections) is -11.41 eV per atom. For the volume, the calculation gives 16.3 Å³ per atom. For the raw formation energy, the calculation gives 0.32 eV per formula unit.

a b c (Å): 3.1783 3.1783 6.4474
angles (deg): 90.00 90.00 90.00
Closest atoms and distances in Å follow each position.
Fractional positions:
P1 0.5000 0.5000 0.0000  8 Al 2.68
Al1 0.0000 0.0000 0.7733  4 P 2.68, 4 Se 2.86, 1 Al 2.92
Al2 0.0000 0.0000 0.2267  4 P 2.68, 4 Se 2.86, 1 Al 2.92
Se1 0.5000 0.5000 0.5000  8 Al 2.86, 4 Se 3.18



No. 2
The following is a meta-GGA SCAN calculation of NaOsS2 at its PBEsol-relaxed geometry, from Alexandria via LeMat-Bulk.

The symmetry is I-42d (122). The value obtained for the total DFT energy (no corrections) is -24.25 eV per atom. For the volume, the calculation gives 20.9 Å³ per atom. For the raw formation energy, the calculation gives -1.65 eV per formula unit.

a b c (Å): 7.0609 6.0168 7.0609
angles (deg): 54.07 90.00 125.93
Closest atoms and distances in Å follow each position.
Fractional positions:
Os1 0.0000 0.0000 0.0000  4 S 2.22
Os2 0.7500 0.5000 0.7500  4 S 2.22
S1 0.7256 0.7500 0.3750  2 Os 2.22
S2 0.3750 0.2500 0.0244  2 Os 2.22
S3 0.0244 0.7500 0.8750  2 Os 2.22
S4 0.8750 0.2500 0.7256  2 Os 2.22
Na1 0.2500 0.5000 0.2500  8 S 3.15-3.25, 2 Os 3.36
Na2 0.5000 0.0000 0.5000  8 S 3.15-3.25, 2 Os 3.36



No. 3
The following is a meta-GGA SCAN calculation of Ca3As2 at its PBEsol-relaxed geometry, from Alexandria via LeMat-Bulk.

The symmetry is P-3m1 (164). The value obtained for the total DFT energy (no corrections) is -15.17 eV per atom. For the volume, the calculation gives 27.0 Å³ per atom. For the formation energy, the calculation gives -6.47 eV per formula unit.

a b c (Å): 4.8529 4.8529 6.6260
angles (deg): 90.00 90.00 120.00
Closest atoms and distances in Å follow each position.
Fractional positions:
As1 0.3333 0.6667 0.7810  7 Ca 2.89-3.16
As2 0.6667 0.3333 0.2190  7 Ca 2.89-3.16
Ca1 0.0000 0.0000 0.0000  6 As 3.16
Ca2 0.3333 0.6667 0.3252  4 As 2.89-3.02
Ca3 0.6667 0.3333 0.6748  4 As 2.89-3.02



No. 4
The following is a meta-GGA SCAN calculation of CuIrPt2 at its PBEsol-relaxed geometry, from Alexandria via LeMat-Bulk.

The symmetry is P4/mmm (123). The excess energy over the best structure of this formula in the dataset comes out at 77 meV/atom. The value obtained for the total DFT energy (no corrections) is -56.68 eV per atom. For the volume, the calculation gives 13.9 Å³ per atom. For the formation energy, the calculation gives -0.02 eV per formula unit.

a b c (Å): 2.7268 2.7268 7.4946
angles (deg): 90.00 90.00 90.00
Closest atoms and distances in Å follow each position.
Fractional positions:
Ir1 0.5000 0.5000 0.5000  8 Pt 2.72, 4 Ir 2.73
Cu1 0.5000 0.5000 0.0000  8 Pt 2.65, 4 Cu 2.73
Pt1 0.0000 0.0000 0.2434  4 Cu 2.65, 4 Ir 2.72, 4 Pt 2.73
Pt2 0.0000 0.0000 0.7566  4 Cu 2.65, 4 Ir 2.72, 4 Pt 2.73



No. 5
The following is a meta-GGA SCAN calculation of BaNiTe2 at its PBEsol-relaxed geometry, from Alexandria via LeMat-Bulk.

The symmetry is R-3m (166). The value obtained for the total DFT energy (no corrections) is -33.32 eV per atom. For the volume, the calculation gives 28.3 Å³ per atom. For the raw formation energy, the calculation gives -3.04 eV per formula unit.

a b c (Å): 4.2793 4.2769 7.5653
angles (deg): 106.43 90.00 120.02
Closest atoms and distances in Å follow each position.
Fractional positions:
Te1 0.2750 0.5499 0.3250  3 Ni 2.77
Te2 0.7250 0.4501 0.6750  3 Ni 2.77
Ni1 0.0000 0.0000 0.5000  6 Te 2.77
Ba1 0.5000 0.0000 0.0000  6 Te 3.39



No. 6
The following is a meta-GGA SCAN calculation of Hf2Ga2Ag at its PBEsol-relaxed geometry, from Alexandria via LeMat-Bulk.

The symmetry is P4/mbm (127). The value obtained for the total DFT energy (no corrections) is -38.32 eV per atom. For the volume, the calculation gives 17.6 Å³ per atom. For the formation energy, the calculation gives -2.18 eV per formula unit.

a b c (Å): 4.0899 6.5621 6.5621
angles (deg): 90.00 90.00 90.00
Closest atoms and distances in Å follow each position.
Fractional positions:
Ga1 0.0000 0.1340 0.3660  1 Ga 2.49, 2 Ag 2.56, 2 Hf 2.76
Ga2 0.0000 0.3660 0.8660  1 Ga 2.49, 2 Ag 2.56, 2 Hf 2.76
Ga3 0.0000 0.8660 0.6340  1 Ga 2.49, 2 Ag 2.56, 2 Hf 2.76
Ga4 0.0000 0.6340 0.1340  1 Ga 2.49, 2 Ag 2.56, 2 Hf 2.76
Hf1 0.5000 0.6667 0.8333  6 Ga 2.76-2.85
Hf2 0.5000 0.8333 0.3333  6 Ga 2.76-2.85
Hf3 0.5000 0.3333 0.1667  6 Ga 2.76-2.85
Hf4 0.5000 0.1667 0.6667  6 Ga 2.76-2.85
Ag1 0.0000 0.0000 0.0000  4 Ga 2.56
Ag2 0.0000 0.5000 0.5000  4 Ga 2.56



No. 7
The following is a meta-GGA SCAN calculation of BaFeCl at its PBEsol-relaxed geometry, from Alexandria via LeMat-Bulk.

The symmetry is P3m1 (156). The value obtained for the total DFT energy (no corrections) is -22.20 eV per atom. For the volume, the calculation gives 24.6 Å³ per atom. For the raw formation energy, the calculation gives -0.94 eV per formula unit.

a b c (Å): 3.8243 4.7231 4.7231
angles (deg): 120.00 90.00 90.00
Closest atoms and distances in Å follow each position.
Fractional positions:
Cl1 0.4843 0.3333 0.6667  3 Fe 2.73
Fe1 0.5136 0.6667 0.3333  3 Cl 2.73
Ba1 0.0020 0.0000 0.0000  6 Cl 3.29-3.37, 6 Fe 3.31-3.36



No. 8
The following is a meta-GGA SCAN calculation of Pb3WBr at its PBEsol-relaxed geometry, from Alexandria via LeMat-Bulk.

The symmetry is Pm-3m (221). The value obtained for the total DFT energy (no corrections) is -63.08 eV per atom. For the volume, the calculation gives 30.3 Å³ per atom. For the raw formation energy, the calculation gives 1.10 eV per formula unit.

a b c (Å): 5.3320 5.3320 5.3320
angles (deg): 90.00 90.00 90.00
Closest atoms and distances in Å follow each position.
Fractional positions:
W1 0.0000 0.0000 0.0000  6 Pb 2.67
Pb1 0.5000 0.0000 0.0000  2 W 2.67
Pb2 0.0000 0.5000 0.0000  2 W 2.67
Pb3 0.0000 0.0000 0.5000  2 W 2.67
Br1 0.5000 0.5000 0.5000  12 Pb 3.77



No. 9
The following is a meta-GGA SCAN calculation of ReSn3Cl at its PBEsol-relaxed geometry, from Alexandria via LeMat-Bulk.

The symmetry is Pm-3m (221). The value obtained for the total DFT energy (no corrections) is -35.81 eV per atom. For the volume, the calculation gives 26.3 Å³ per atom. For the raw formation energy, the calculation gives 7.81 eV per formula unit.

a b c (Å): 5.0849 5.0849 5.0849
angles (deg): 90.00 90.00 90.00
Closest atoms and distances in Å follow each position.
Fractional positions:
Sn1 0.5000 0.0000 0.0000  2 Cl 2.54
Sn2 0.0000 0.5000 0.0000  2 Cl 2.54
Sn3 0.0000 0.0000 0.5000  2 Cl 2.54
Re1 0.5000 0.5000 0.5000  12 Sn 3.60
Cl1 0.0000 0.0000 0.0000  6 Sn 2.54



No. 10
The following is a meta-GGA SCAN calculation of Mn2CdCo at its PBEsol-relaxed geometry, from Alexandria via LeMat-Bulk.

The symmetry is Imm2 (44). The value obtained for the total DFT energy (no corrections) is -20.97 eV per atom. For the volume, the calculation gives 13.7 Å³ per atom. For the formation energy, the calculation gives 0.33 eV per formula unit.

a b c (Å): 2.9637 4.3095 5.0184
angles (deg): 115.43 107.17 90.00
Closest atoms and distances in Å follow each position.
Fractional positions:
Cd1 0.5125 0.5125 0.0250  8 Mn 2.63-2.91, 2 Co 2.64
Mn1 0.9784 0.9784 0.9569  2 Co 2.33
Mn2 0.7411 0.2411 0.4821  4 Co 2.63, 2 Mn 2.69, 4 Cd 2.76-2.91
Co1 0.2680 0.7680 0.5360  2 Mn 2.33



No. 11
The following is a meta-GGA SCAN calculation of YAg2Sb at its PBEsol-relaxed geometry, from Alexandria via LeMat-Bulk.

The symmetry is Amm2 (38). The value obtained for the total DFT energy (no corrections) is -32.30 eV per atom. For the volume, the calculation gives 21.6 Å³ per atom. For the raw formation energy, the calculation gives -1.38 eV per formula unit.

a b c (Å): 3.3027 4.3319 6.2535
angles (deg): 90.00 105.31 90.00
Closest atoms and distances in Å follow each position.
Fractional positions:
Y1 0.5718 0.5000 0.1435  1 Ag 2.92, 4 Sb 3.04
Ag1 0.9167 0.0000 0.8335  4 Ag 2.92, 3 Sb 3.22-3.26
Ag2 0.3295 0.5000 0.6590  2 Sb 2.79, 4 Ag 2.92, 1 Y 2.92
Sb1 0.1836 0.0000 0.3672  2 Ag 2.79, 4 Y 3.04



No. 12
The following is a meta-GGA SCAN calculation of ZrAlSi2 at its PBEsol-relaxed geometry, from Alexandria via LeMat-Bulk.

The symmetry is Pmma (51). The value obtained for the total DFT energy (no corrections) is -14.56 eV per atom. For the volume, the calculation gives 17.3 Å³ per atom. For the raw formation energy, the calculation gives 0.23 eV per formula unit.

a b c (Å): 4.3493 4.4968 7.0952
angles (deg): 90.00 90.00 90.00
Closest atoms and distances in Å follow each position.
Fractional positions:
Al1 0.0000 0.7500 0.6444  2 Si 2.85, 2 Al 3.04, 6 Zr 3.05-3.13
Al2 0.0000 0.2500 0.3556  2 Si 2.85, 2 Al 3.04, 6 Zr 3.05-3.13
Si1 0.0000 0.2500 0.8913  6 Si 2.57-2.73, 2 Zr 2.73, 2 Al 2.85
Si2 0.5000 0.0000 0.0000  2 Si 2.25
Si3 0.0000 0.7500 0.1087  6 Si 2.57-2.73, 2 Zr 2.73, 2 Al 2.85
Si4 0.5000 0.5000 0.0000  2 Si 2.25
Zr1 0.5000 0.7500 0.3424  4 Si 2.68-2.73
Zr2 0.5000 0.2500 0.6576  4 Si 2.68-2.73



No. 13
The following is a meta-GGA SCAN calculation of CoTcOs2 at its PBEsol-relaxed geometry, from Alexandria via LeMat-Bulk.

The symmetry is I4/mmm (139). The excess energy over the best structure of this formula in the dataset comes out at 0 meV/atom. The value obtained for the total DFT energy (no corrections) is -48.88 eV per atom. For the volume, the calculation gives 13.0 Å³ per atom. For the formation energy, the calculation gives 0.61 eV per formula unit.

a b c (Å): 3.7606 3.7606 4.5479
angles (deg): 114.42 114.42 90.00
Closest atoms and distances in Å follow each position.
Fractional positions:
Tc1 0.5000 0.5000 0.0000  8 Os 2.63, 4 Co 2.66
Os1 0.7500 0.2500 0.5000  4 Tc 2.63, 4 Co 2.63, 4 Os 2.66
Os2 0.2500 0.7500 0.5000  4 Tc 2.63, 4 Co 2.63, 4 Os 2.66
Co1 0.0000 0.0000 0.0000  8 Os 2.63, 4 Tc 2.66



No. 14
The following is a meta-GGA SCAN calculation of ZnSiPt2 at its PBEsol-relaxed geometry, from Alexandria via LeMat-Bulk.

The symmetry is I-42d (122). The value obtained for the total DFT energy (no corrections) is -41.38 eV per atom. For the volume, the calculation gives 15.5 Å³ per atom. For the raw formation energy, the calculation gives -1.60 eV per formula unit.

a b c (Å): 5.3572 5.5022 5.5022
angles (deg): 76.29 60.87 60.87
Closest atoms and distances in Å follow each position.
Fractional positions:
Pt1 0.3750 0.4570 0.0430  2 Si 2.31
Pt2 0.5820 0.0430 0.5430  2 Si 2.31
Pt3 0.8750 0.5430 0.9570  2 Si 2.31
Pt4 0.1680 0.9570 0.4570  2 Si 2.31
Zn1 0.7500 0.5000 0.5000  2 Si 2.68, 8 Pt 2.70-2.98
Zn2 0.0000 0.0000 0.0000  2 Si 2.68, 8 Pt 2.70-2.98
Si1 0.2500 0.5000 0.5000  4 Pt 2.31
Si2 0.5000 0.0000 0.0000  4 Pt 2.31



No. 15
The following is a meta-GGA SCAN calculation of CdMo2Se at its PBEsol-relaxed geometry, from Alexandria via LeMat-Bulk.

The symmetry is R3m (160). The excess energy over the best structure of this formula in the dataset comes out at 0 meV/atom. The value obtained for the total DFT energy (no corrections) is -29.89 eV per atom. For the volume, the calculation gives 18.1 Å³ per atom. For the raw formation energy, the calculation gives 0.71 eV per formula unit.

a b c (Å): 3.1131 3.1131 8.8294
angles (deg): 79.85 79.85 60.00
Closest atoms and distances in Å follow each position.
Fractional positions:
Se1 0.4869 0.4869 0.5393  3 Mo 2.61
Mo1 0.0118 0.0118 0.9647  3 Mo 2.54
Mo2 0.7474 0.7474 0.7578  3 Mo 2.54, 3 Se 2.61
Cd1 0.2539 0.2539 0.2382  3 Mo 2.97, 6 Cd 3.11, 3 Se 3.16